1.
Computed, not measured: a relaxed Tb3Er4Tm crystal at the PBE level of DFT.

a = 5.572 Å, b = 3.521 Å, c = 13.233 Å
α = 89.98°, β = 102.15°, γ = 90.00°
Fractional coordinates of all 8 atoms:
Tb: 0.845 0.000 0.691
Tb: 0.000 0.500 0.000
Tm: 0.500 0.000 0.000
Tb: 0.155 0.000 0.309
Er: 0.603 0.500 0.206
Er: 0.397 0.500 0.794
Er: 0.277 0.499 0.554
Er: 0.723 0.501 0.446

Summary:
- space group = No. 65
- Fermi-level density of states (states/eV/cell) = 10.97
- uncorrected energy (eV/atom) = -4.385


2.
Computed, not measured: a relaxed La3Nd2Ge2 crystal at the PBE level of DFT.

a = 4.336 Å, b = 6.556 Å, c = 8.980 Å
α = 104.39°, β = 103.98°, γ = 109.30°
Fractional coordinates of all 7 atoms:
La: 0.188 0.820 0.556
Ge: 0.022 0.845 0.198
Nd: 0.341 0.493 0.189
La: 0.812 0.180 0.444
La: 0.500 0.000 0.000
Ge: 0.978 0.155 0.802
Nd: 0.659 0.507 0.811

Summary:
- space group = No. 12
- Fermi-level density of states (states/eV/cell) = 7.13
- uncorrected energy (eV/atom) = -5.314


3.
Computed, not measured: a relaxed SrBi2W crystal at the PBE level of DFT.

a = 5.258 Å, b = 5.258 Å, c = 5.258 Å
α = 60.00°, β = 60.00°, γ = 60.00°
Site moments in Bohr magnetons follow the coordinates.
Fractional coordinates of all 4 atoms:
Sr: 0.000 0.000 0.000  0.00
Bi: 0.250 0.250 0.250  -0.03
Bi: 0.750 0.750 0.750  -0.03
W: 0.500 0.500 0.500  0.83

Summary:
- space group = No. 225
- Fermi-level density of states (states/eV/cell) = 4.25
- uncorrected energy (eV/atom) = -5.106


4.
Computed, not measured: a relaxed In2HgS crystal at the PBE level of DFT.

a = 3.581 Å, b = 3.581 Å, c = 7.940 Å
α = 90.00°, β = 90.00°, γ = 90.00°
Fractional coordinates of all 4 atoms:
In: 0.000 0.000 0.791
Hg: 0.500 0.500 0.500
S: 0.500 0.500 0.000
In: 0.000 0.000 0.209

Summary:
- ΔE_f (raw) (eV per atom) = -0.143
- space group = No. 123
- Fermi-level density of states (states/eV/cell) = 1.02
- uncorrected energy (eV/atom) = -2.619


5.
Computed, not measured: a relaxed Mg2Zn2Cd crystal at the PBE level of DFT.

a = 7.169 Å, b = 7.169 Å, c = 3.780 Å
α = 90.00°, β = 90.00°, γ = 90.00°
Fractional coordinates of all 10 atoms:
Zn: 0.127 0.373 0.000
Mg: 0.331 0.169 0.500
Cd: 0.000 0.000 0.000
Zn: 0.873 0.627 0.000
Mg: 0.831 0.331 0.500
Zn: 0.373 0.873 0.000
Zn: 0.627 0.127 0.000
Cd: 0.500 0.500 0.000
Mg: 0.169 0.669 0.500
Mg: 0.669 0.831 0.500

Summary:
- space group = No. 127
- Fermi-level density of states (states/eV/cell) = 4.70
- uncorrected energy (eV/atom) = -1.392


6.
Computed, not measured: a relaxed ReP2Br crystal at the PBE level of DFT.

a = 4.773 Å, b = 3.702 Å, c = 3.702 Å
α = 90.00°, β = 90.00°, γ = 90.00°
Fractional coordinates of all 4 atoms:
Re: 0.500 0.500 0.000
Br: 0.500 0.000 0.500
P: 0.000 0.000 0.000
P: 0.000 0.500 0.500

Summary:
- ΔE_f (raw) (eV per atom) = 1.319
- space group = No. 123
- Fermi-level density of states (states/eV/cell) = 3.90
- uncorrected energy (eV/atom) = -4.916


Number 1: magnetic moment 0.000 μB/atom. Number 2: magnetic moment 0.000 μB/atom. Number 3: magnetic moment 0.272 μB/atom. Number 4: magnetic moment 0.000 μB/atom. Number 5: magnetic moment 0.000 μB/atom. Number 6: magnetic moment 0.000 μB/atom.